(1)
A plane-wave DFT calculation with PBE-GGA was carried out for TmPaSb2 after structural relaxation.

Unit cell a=9.733 b=9.733 c=7.525 alpha=104.91 beta=104.91 gamma=126.85
Element x y z (fractional)
Tm: 0.064 0.936 0.750
Tm: 0.188 0.812 0.250
Tm: 0.812 0.188 0.750
Tm: 0.936 0.064 0.250
Pa: 0.314 0.686 0.750
Pa: 0.439 0.561 0.250
Pa: 0.561 0.439 0.750
Pa: 0.686 0.314 0.250
Sb: 0.060 0.436 0.247
Sb: 0.180 0.305 0.747
Sb: 0.305 0.180 0.247
Sb: 0.436 0.060 0.747
Sb: 0.564 0.940 0.253
Sb: 0.695 0.820 0.753
Sb: 0.820 0.695 0.253
Sb: 0.940 0.564 0.753

## Properties
Fermi-level density of states (states/eV per cell): 23.4
Raw formation energy (eV per atom): -0.733
Crystal system: monoclinic
Space-group type: C2/c

(2)
A plane-wave DFT calculation with PBE-GGA was carried out for Tm2PaSb after structural relaxation.

Unit cell a=3.818 b=3.818 c=7.212 alpha=90.00 beta=90.00 gamma=90.00
Element x y z (fractional)
Tm: 0.000 0.000 0.228
Tm: 0.000 0.000 0.772
Pa: 0.500 0.500 0.500
Sb: 0.500 0.500 0.000

## Properties
Fermi-level density of states (states/eV per cell): 3.3
Raw formation energy (eV per atom): -0.305
Crystal system: tetragonal
Space-group type: P4/mmm

(3)
A plane-wave DFT calculation with PBE-GGA was carried out for Tm2PaSb after structural relaxation.

Unit cell a=4.776 b=4.776 c=4.511 alpha=90.00 beta=90.00 gamma=90.00
Element x y z (fractional)
Tm: 0.000 0.500 0.000
Tm: 0.500 0.000 0.000
Pa: 0.000 0.000 0.500
Sb: 0.500 0.500 0.500

## Properties
Fermi-level density of states (states/eV per cell): 5.5
Raw formation energy (eV per atom): -0.272
Crystal system: tetragonal
Space-group type: P4/mmm

(4)
A plane-wave DFT calculation with PBE-GGA was carried out for TmPa5Sb6 after structural relaxation.

Unit cell a=7.543 b=7.543 c=7.538 alpha=99.61 beta=99.61 gamma=120.02
Element x y z (fractional)
Tm: 0.000 0.000 0.000
Pa: 0.168 0.832 0.500
Pa: 0.334 0.666 0.000
Pa: 0.500 0.500 0.500
Pa: 0.666 0.334 0.000
Pa: 0.832 0.168 0.500
Sb: 0.082 0.412 0.247
Sb: 0.246 0.246 0.751
Sb: 0.412 0.082 0.247
Sb: 0.588 0.918 0.753
Sb: 0.754 0.754 0.249
Sb: 0.918 0.588 0.753

## Properties
Fermi-level density of states (states/eV per cell): 19.5
Raw formation energy (eV per atom): -0.532
Crystal system: monoclinic
Space-group type: C2/m

(5)
A plane-wave DFT calculation with PBE-GGA was carried out for Tm2PaSb after structural relaxation.

Unit cell a=10.633 b=10.633 c=10.633 alpha=18.72 beta=18.72 gamma=18.72
Element x y z (fractional)
Tm: 0.246 0.246 0.246
Tm: 0.754 0.754 0.754
Pa: 0.000 0.000 0.000
Sb: 0.500 0.500 0.500

## Properties
Fermi-level density of states (states/eV per cell): 4.8
Raw formation energy (eV per atom): -0.186
Crystal system: trigonal
Space-group type: R-3m

(6)
A plane-wave DFT calculation with PBE-GGA was carried out for Tm3PaSb4 after structural relaxation.

Unit cell a=7.523 b=7.523 c=4.340 alpha=90.00 beta=90.00 gamma=109.35
Element x y z (fractional)
Tm: 0.000 0.000 0.000
Tm: 0.000 0.500 0.500
Tm: 0.500 0.000 0.500
Pa: 0.500 0.500 0.000
Sb: 0.247 0.247 0.500
Sb: 0.249 0.751 0.000
Sb: 0.751 0.249 0.000
Sb: 0.753 0.753 0.500

## Properties
Fermi-level density of states (states/eV per cell): 6.5
Raw formation energy (eV per atom): -0.904
Crystal system: orthorhombic
Space-group type: Cmmm

(7)
A plane-wave DFT calculation with PBE-GGA was carried out for TmPaSb2 after structural relaxation.

Unit cell a=7.859 b=7.859 c=7.859 alpha=31.60 beta=31.60 gamma=31.60
Element x y z (fractional)
Tm: 0.000 0.000 0.000
Pa: 0.173 0.173 0.173
Sb: 0.588 0.588 0.588
Sb: 0.754 0.754 0.754

## Properties
Fermi-level density of states (states/eV per cell): 6.0
Raw formation energy (eV per atom): -0.632
Crystal system: trigonal
Space-group type: R3m

(8)
A plane-wave DFT calculation with PBE-GGA was carried out for Tm5Pa3Sb8 after structural relaxation.

Unit cell a=8.712 b=8.712 c=8.712 alpha=59.82 beta=59.82 gamma=59.82
Element x y z (fractional)
Tm: 0.000 0.000 0.000
Tm: 0.000 0.500 0.500
Tm: 0.500 0.000 0.500
Tm: 0.500 0.500 0.000
Tm: 0.500 0.500 0.500
Pa: 0.000 0.000 0.500
Pa: 0.000 0.500 0.000
Pa: 0.500 0.000 0.000
Sb: 0.250 0.250 0.747
Sb: 0.250 0.747 0.250
Sb: 0.252 0.252 0.252
Sb: 0.253 0.750 0.750
Sb: 0.747 0.250 0.250
Sb: 0.748 0.748 0.748
Sb: 0.750 0.253 0.750
Sb: 0.750 0.750 0.253

## Properties
Fermi-level density of states (states/eV per cell): 19.4
Raw formation energy (eV per atom): -0.817
Crystal system: trigonal
Space-group type: R-3m